Record 1
ScAlP2 (PBE, optimized geometry); energy of formation = -400 meV/atom; N(E_F) = 2.5 states/eV per cell; energy = -5.6236 eV per atom
1.0
3.251 0.027 0.000
-1.150 3.041 0.000
0.000 0.000 6.915
P Sc Al
2 1 1
direct
0.000 0.000 0.511
0.000 0.000 0.989
0.500 0.500 0.250
0.500 0.500 0.750

---

Record 2
Sc2AlP (PBE, optimized geometry); energy of formation = -347 meV/atom; N(E_F) = 3.5 states/eV per cell; energy = -5.8010 eV per atom
1.0
-2.277 1.351 -7.675
-4.440 -1.283 -6.675
-5.234 2.079 -5.848
Sc Al P
2 1 1
direct
0.020 0.020 0.020
0.245 0.245 0.245
0.477 0.477 0.477
0.758 0.758 0.758

---

Record 3
ScAlP2 (PBE, optimized geometry); energy of formation = -586 meV/atom; N(E_F) = 1.8 states/eV per cell; energy = -5.8095 eV per atom
1.0
3.576 0.000 0.000
0.000 3.517 -0.010
0.000 0.028 5.627
P Sc Al
2 1 1
direct
0.000 0.750 0.039
0.000 0.750 0.461
0.500 0.250 0.250
0.500 0.750 0.750

---

Record 4
ScAlP2 (PBE, optimized geometry); energy of formation = -783 meV/atom; N(E_F) = 0.7 states/eV per cell; energy = -6.0068 eV per atom
1.0
3.878 0.000 0.000
0.000 3.521 -0.004
0.000 1.771 5.827
Sc P Al
1 2 1
direct
0.000 0.591 0.444
0.500 0.170 0.284
0.000 0.924 0.776
0.500 0.814 0.997

---

Record 5
ScAl2P (PBE, optimized geometry); energy of formation = -367 meV/atom; N(E_F) = 2.7 states/eV per cell; energy = -5.1736 eV per atom
1.0
7.643 0.027 0.016
6.832 3.426 0.016
6.832 1.630 3.014
P Al Sc
1 2 1
direct
0.506 0.506 0.506
0.996 0.996 0.996
0.234 0.234 0.234
0.765 0.765 0.765

---

Record 6
Sc2AlP (PBE, optimized geometry); energy of formation = -37 meV/atom; N(E_F) = 3.0 states/eV per cell; energy = -5.4908 eV per atom
1.0
-0.586 -0.833 -4.591
-1.673 -4.151 -1.442
-4.333 -0.291 -1.803
Sc Al P
2 1 1
direct
0.000 0.000 0.000
0.250 0.250 0.250
0.500 0.500 0.500
0.750 0.750 0.750

---

Record 7
ScAlP2 (PBE, optimized geometry); energy of formation = -626 meV/atom; N(E_F) = 1.5 states/eV per cell; energy = -5.8498 eV per atom
1.0
-3.224 -4.001 -3.738
0.565 -6.151 -1.489
-0.158 4.506 4.476
P Sc Al
2 1 1
direct
0.213 0.713 0.500
0.954 0.954 0.000
0.543 0.543 0.000
0.791 0.291 0.500

---

Record 8
Sc2AlP2 (PBE, optimized geometry); energy of formation = -959 meV/atom; N(E_F) = 10.0 states/eV per cell; energy = -6.4044 eV per atom
1.0
-1.963 3.401 5.726
4.277 -3.931 3.802
2.621 2.363 -0.505
P Sc Al
4 4 2
direct
0.346 0.846 0.000
0.846 0.654 0.000
0.654 0.154 0.000
0.154 0.346 0.000
0.652 0.848 0.500
0.848 0.348 0.500
0.348 0.152 0.500
0.152 0.652 0.500
0.000 0.000 0.000
0.500 0.500 0.000

---

Record 9
ScAlP2 (PBE, optimized geometry); energy of formation = -731 meV/atom; N(E_F) = 0.0 states/eV per cell; energy = -5.9544 eV per atom
1.0
-4.577 -0.393 -3.652
1.769 -5.350 -1.640
-4.379 -5.070 1.318
Al P Sc
2 4 2
direct
0.500 0.500 0.000
0.250 0.750 0.500
0.599 0.125 0.250
0.375 0.401 0.750
0.151 0.625 0.250
0.875 0.849 0.750
0.000 0.000 0.000
0.750 0.250 0.500

---

Record 10
ScAl2P (PBE, optimized geometry); energy of formation = -499 meV/atom; N(E_F) = 1.9 states/eV per cell; energy = -5.3053 eV per atom
1.0
-3.670 -3.281 -0.506
-0.891 -4.253 -2.368
0.568 -3.897 2.882
Sc P Al
1 1 2
direct
0.208 0.208 0.360
0.487 0.487 0.376
0.009 0.009 0.005
0.795 0.795 0.759

---

Record 11
Sc2AlP (PBE, optimized geometry); energy of formation = -667 meV/atom; N(E_F) = 2.0 states/eV per cell; energy = -6.1210 eV per atom
1.0
-2.996 0.180 1.043
1.393 -1.348 2.518
1.433 6.928 2.917
P Sc Al
1 2 1
direct
0.500 0.500 0.750
0.000 0.000 0.534
0.000 0.000 0.966
0.500 0.500 0.250

---

Record 12
ScAlP2 (PBE, optimized geometry); energy of formation = -831 meV/atom; N(E_F) = 0.6 states/eV per cell; energy = -6.0549 eV per atom
1.0
3.676 0.002 -0.002
1.839 3.183 -0.002
1.840 1.063 5.994
P Al Sc
2 1 1
direct
0.506 0.506 0.481
0.994 0.994 0.019
0.250 0.250 0.250
0.750 0.750 0.750

---

Record 13
ScAl2P (PBE, optimized geometry); energy of formation = -278 meV/atom; N(E_F) = 2.4 states/eV per cell; energy = -5.0847 eV per atom
1.0
3.334 -0.001 0.000
0.011 3.334 0.000
0.000 0.000 6.155
Sc P Al
1 1 2
direct
0.500 0.500 0.750
0.500 0.500 0.250
0.000 0.000 0.042
0.000 0.000 0.458

---

Record 14
ScAlP2 (PBE, optimized geometry); energy of formation = -357 meV/atom; N(E_F) = 2.2 states/eV per cell; energy = -5.5808 eV per atom
1.0
4.735 -0.005 0.000
0.999 4.629 0.000
-2.867 -2.312 2.976
Al P Sc
1 2 1
direct
0.750 0.250 0.500
0.500 0.500 0.000
0.000 0.000 0.000
0.250 0.750 0.500

---

Record 15
Sc2AlP (PBE, optimized geometry); energy of formation = -18 meV/atom; N(E_F) = 2.3 states/eV per cell; energy = -5.4723 eV per atom
1.0
0.423 8.807 3.950
3.567 8.024 4.029
2.281 9.292 1.339
Al P Sc
1 1 2
direct
0.500 0.500 0.500
0.000 0.000 0.000
0.911 0.911 0.911
0.089 0.089 0.089

---

Record 16
ScAl2P (PBE, optimized geometry); energy of formation = -347 meV/atom; N(E_F) = 5.0 states/eV per cell; energy = -5.1537 eV per atom
1.0
7.473 0.000 0.000
0.000 7.473 0.000
3.737 3.737 2.649
Sc P Al
2 2 4
direct
0.750 0.250 0.500
0.000 0.000 0.000
0.500 0.500 0.000
0.250 0.750 0.500
0.571 0.125 0.250
0.179 0.625 0.250
0.875 0.821 0.750
0.375 0.429 0.750

---

Record 17
ScAl3P (PBE, optimized geometry); energy of formation = 286 meV/atom; N(E_F) = 4.3 states/eV per cell; energy = -4.3073 eV per atom
1.0
4.703 0.000 0.000
0.000 4.703 0.000
0.000 0.000 4.703
Al Sc P
3 1 1
direct
0.000 0.000 0.500
0.000 0.500 0.000
0.500 0.000 0.000
0.500 0.500 0.500
0.000 0.000 0.000

---

Record 18
Sc2AlP (PBE, optimized geometry); energy of formation = -819 meV/atom; N(E_F) = 1.9 states/eV per cell; energy = -6.2724 eV per atom
1.0
3.605 -0.002 0.005
1.805 3.121 0.005
1.787 1.030 7.357
P Al Sc
1 1 2
direct
0.250 0.250 0.250
0.750 0.750 0.750
0.514 0.514 0.458
0.986 0.986 0.042

---

Record 19
Sc2AlP (PBE, optimized geometry); energy of formation = -700 meV/atom; N(E_F) = 2.7 states/eV per cell; energy = -6.1541 eV per atom
1.0
-3.042 -1.462 -0.404
1.420 -2.938 -0.054
0.383 -2.647 6.691
P Al Sc
1 1 2
direct
0.500 0.750 0.750
0.500 0.250 0.250
0.000 0.962 0.974
0.000 0.538 0.526

---

Record 20
Sc2AlP2 (PBE, optimized geometry); energy of formation = -675 meV/atom; N(E_F) = 5.3 states/eV per cell; energy = -6.1200 eV per atom
1.0
7.271 0.000 0.000
0.000 7.271 0.000
0.000 0.000 3.457
P Al Sc
4 2 4
direct
0.662 0.162 0.500
0.162 0.338 0.500
0.338 0.838 0.500
0.838 0.662 0.500
0.500 0.500 0.000
0.000 0.000 0.000
0.145 0.645 0.000
0.855 0.355 0.000
0.645 0.855 0.000
0.355 0.145 0.000

---

Record 21
ScAl2P (PBE, optimized geometry); energy of formation = -131 meV/atom; N(E_F) = 2.8 states/eV per cell; energy = -4.9377 eV per atom
1.0
4.633 0.000 0.000
2.317 4.012 0.000
2.317 1.337 3.783
Al P Sc
2 1 1
direct
0.250 0.250 0.250
0.000 0.000 0.000
0.500 0.500 0.500
0.750 0.750 0.750

---

Record 22
ScAl3P3 (PBE, optimized geometry); energy of formation = -447 meV/atom; N(E_F) = 5.4 states/eV per cell; energy = -5.2743 eV per atom
1.0
4.225 0.000 0.000
-2.112 3.659 0.000
0.000 0.000 16.551
P Al Sc
6 6 2
direct
0.333 0.667 0.750
0.333 0.667 0.411
0.667 0.333 0.589
0.667 0.333 0.250
0.667 0.333 0.911
0.333 0.667 0.089
0.667 0.333 0.750
0.333 0.667 0.606
0.333 0.667 0.894
0.333 0.667 0.250
0.667 0.333 0.394
0.667 0.333 0.106
0.000 0.000 0.500
0.000 0.000 0.000

---

Record 23
ScAl2P (PBE, optimized geometry); energy of formation = -520 meV/atom; N(E_F) = 1.5 states/eV per cell; energy = -5.3268 eV per atom
1.0
5.526 -0.002 -0.002
2.953 4.671 0.002
-4.042 -2.694 2.636
Al P Sc
2 1 1
direct
0.973 0.973 0.000
0.527 0.527 0.000
0.750 0.250 0.500
0.250 0.750 0.500

---

Record 24
ScAl2P (PBE, optimized geometry); energy of formation = -438 meV/atom; N(E_F) = 1.3 states/eV per cell; energy = -5.2450 eV per atom
1.0
-1.208 -3.635 3.359
-3.272 -3.462 -1.808
4.372 2.005 -1.679
Al P Sc
2 1 1
direct
0.250 0.750 0.500
0.000 0.000 0.000
0.500 0.500 0.000
0.750 0.250 0.500

---

Record 25
Sc3AlP (PBE, optimized geometry); energy of formation = -609 meV/atom; N(E_F) = 2.5 states/eV per cell; energy = -6.2381 eV per atom
1.0
-4.400 -0.372 2.024
1.982 -2.046 3.934
0.552 4.390 2.005
P Sc Al
1 3 1
direct
0.000 0.000 0.000
0.000 0.000 0.500
0.000 0.500 0.000
0.500 0.000 0.000
0.500 0.500 0.500

---

Record 26
Sc2Al2P (PBE, optimized geometry); energy of formation = -462 meV/atom; N(E_F) = 8.1 states/eV per cell; energy = -5.5734 eV per atom
1.0
6.760 0.000 0.000
0.000 6.760 0.000
0.000 0.000 4.469
Al P Sc
4 2 4
direct
0.139 0.639 0.500
0.361 0.139 0.500
0.639 0.861 0.500
0.861 0.361 0.500
0.500 0.500 0.000
0.000 0.000 0.000
0.335 0.835 0.000
0.835 0.665 0.000
0.665 0.165 0.000
0.165 0.335 0.000

---

Record 27
ScAl2P (PBE, optimized geometry); energy of formation = -270 meV/atom; N(E_F) = 2.0 states/eV per cell; energy = -5.0765 eV per atom
1.0
4.967 0.000 0.000
0.000 2.905 -0.015
0.000 0.716 4.807
Al P Sc
2 1 1
direct
0.000 0.397 0.487
0.000 0.103 0.013
0.500 0.250 0.250
0.500 0.750 0.750

---

Record 28
Sc2AlP (PBE, optimized geometry); energy of formation = -554 meV/atom; N(E_F) = 3.7 states/eV per cell; energy = -6.0080 eV per atom
1.0
-1.368 -4.806 -0.298
4.095 -2.702 0.994
-2.060 3.772 2.568
P Sc Al
1 2 1
direct
0.750 0.250 0.500
0.000 0.000 0.000
0.500 0.500 0.000
0.250 0.750 0.500